Entry 1:
{
  "formula": "CrFe3",
  "functional": "meta-GGA SCAN",
  "state": "PBEsol geometry",
  "lattice": [[-0.4105, 2.6489, 2.1836], [-2.8008, -1.5301, 1.3296], [1.9850, -1.6111, 2.3275]],
  "species": ["Fe", "Fe", "Fe", "Cr"],
  "fractional_positions": [[0.5000, 0.5000, 0.0000], [0.5000, 0.0000, 0.5000], [0.0000, 0.5000, 0.5000], [0.0000, 0.0000, 0.0000]],
  "total_energy_ha_per_atom": -0.6651,
  "density_g_cm3": 8.82
}



Entry 2:
{
  "formula": "TbB6",
  "functional": "meta-GGA SCAN",
  "state": "PBEsol geometry",
  "lattice": [[4.0768, 0.0000, 0.0000], [0.0000, 4.0768, 0.0000], [0.0000, 0.0000, 4.0768]],
  "species": ["B", "B", "B", "B", "B", "B", "Tb"],
  "fractional_positions": [[0.8012, 0.5000, 0.5000], [0.5000, 0.5000, 0.1988], [0.5000, 0.5000, 0.8012], [0.1988, 0.5000, 0.5000], [0.5000, 0.1988, 0.5000], [0.5000, 0.8012, 0.5000], [0.0000, 0.0000, 0.0000]],
  "total_energy_ha_per_atom": -0.4969,
  "density_g_cm3": 5.48
}



Entry 3:
{
  "formula": "Cu2SbPt",
  "functional": "meta-GGA SCAN",
  "state": "PBEsol geometry",
  "lattice": [[3.4619, 0.0000, 0.0000], [0.0000, 3.2615, 0.0000], [0.0000, 0.0000, 5.3458]],
  "species": ["Pt", "Sb", "Cu", "Cu"],
  "fractional_positions": [[0.5000, 0.5000, 0.0000], [0.5000, 0.5000, 0.5000], [0.0000, 0.0000, 0.7648], [0.0000, 0.0000, 0.2352]],
  "density_g_cm3": 12.21,
  "formation_energy_uncorrected_kj_per_mol_atoms": -1.1
}



Entry 4:
{
  "formula": "MgTlIn2",
  "functional": "meta-GGA SCAN",
  "state": "PBEsol geometry",
  "lattice": [[5.2311, 0.0000, 0.0000], [2.6156, 4.5303, 0.0000], [2.6156, 1.5101, 4.2712]],
  "species": ["Mg", "In", "In", "Tl"],
  "fractional_positions": [[0.5000, 0.5000, 0.5000], [0.0000, 0.0000, 0.0000], [0.7500, 0.7500, 0.7500], [0.2500, 0.2500, 0.2500]],
  "total_energy_ha_per_atom": -1.3230,
  "density_g_cm3": 7.52
}